No. 1
First-principles (PBE) data for a relaxed structure of YAl2CoTc, as listed in Alexandria.

The value obtained for the formation energy is 194.26 kJ per mole of atoms. The calculation puts the calculated volume at 138.3 Å³/cell. The value obtained for the density of states at the Fermi level is 6.571 states/eV/f.u.

The space group is P4/mmm (No. 123) and the conventional cell measures 5.356, 5.356 and 4.820 Å, with angles of 90.00, 90.00 and 90.00 degrees. The distinct sites, in fractional coordinates, are Y at (0.000, 0.000, 0.000), Al at (0.000, 0.500, 0.000), Co at (0.500, 0.500, 0.500) and Tc at (0.000, 0.000, 0.500).



No. 2
First-principles (PBE) data for a relaxed structure of ZnSbAu2, as listed in Alexandria.

The calculation puts the calculated volume at 156.0 Å³/cell. The energy relative to the lowest polymorph listed for this composition comes out at 104 meV per atom. Its uncorrected formation energy is 0.04 eV/atom. The value obtained for the density of states at the Fermi level is 1.109 states/eV/f.u.

The space group is I-4m2 (No. 119) and the conventional cell measures 4.216, 4.216 and 8.779 Å, with angles of 90.00, 90.00 and 90.00 degrees. The distinct sites, in fractional coordinates, are Zn at (0.000, 0.000, 0.000), Sb at (0.000, 0.500, 0.250), Au at (0.000, 0.000, 0.500) and Au at (0.000, 0.500, 0.750).



No. 3
First-principles (PBE) data for a relaxed structure of UGe2Rh2, as listed in Alexandria.

The value obtained for the formation energy is -22.96 kJ per mole of atoms. The calculation puts the calculated volume at 185.1 Å³/cell. The energy relative to the lowest polymorph listed for this composition comes out at 309 meV per atom. The value obtained for the density of states at the Fermi level is 7.705 states/eV/f.u.

The space group is P4mm (No. 99) and the conventional cell measures 4.130, 4.130 and 10.852 Å, with angles of 90.00, 90.00 and 90.00 degrees. The distinct sites, in fractional coordinates, are U at (0.000, 0.000, 0.000), U at (0.500, 0.500, 0.457), Ge at (0.000, 0.000, 0.324), Ge at (0.000, 0.000, 0.547), Ge at (0.000, 0.500, 0.701), Rh at (0.000, 0.500, 0.206), Rh at (0.500, 0.500, 0.044) and Rh at (0.500, 0.500, 0.812).



No. 4
First-principles (PBE) data for a relaxed structure of MgBe2Al, as listed in Alexandria.

The value obtained for the formation energy is 17.71 kJ per mole of atoms. The calculation puts the calculated volume at 54.3 Å³/cell. The energy relative to the lowest polymorph listed for this composition comes out at 135 meV per atom. The value obtained for the density of states at the Fermi level is 0.788 states/eV/f.u.

The space group is Pm (No. 6) and the conventional cell measures 3.098, 3.790 and 4.875 Å, with angles of 90.00, 108.32 and 90.00 degrees. The distinct sites, in fractional coordinates, are Mg at (0.000, 0.000, 0.000), Be at (0.278, 0.000, 0.554), Be at (0.400, 0.500, 0.799) and Al at (0.692, 0.500, 0.379).



No. 5
First-principles (PBE) data for a relaxed structure of Ce2USb3, as listed in Alexandria.

The calculation puts the calculated volume at 376.1 Å³/cell. Its uncorrected formation energy is -0.74 eV/atom. The value obtained for the density of states at the Fermi level is 20.332 states/eV/f.u.

The space group is I4/mmm (No. 139) and the conventional cell measures 4.460, 4.460 and 18.904 Å, with angles of 90.00, 90.00 and 90.00 degrees. The distinct sites, in fractional coordinates, are Ce at (0.000, 0.000, 0.167), U at (0.000, 0.000, 0.500), Sb at (0.000, 0.000, 0.000) and Sb at (0.000, 0.000, 0.335).



No. 6
First-principles (PBE) data for a relaxed structure of Sr6P3H, as listed in Alexandria.

The calculation puts the calculated volume at 1272.8 Å³/cell. For the total energy, the calculation gives -3.78 eV/atom. The value obtained for the density of states at the Fermi level is 4.970 states/eV/f.u.

The space group is Cmc2_1 (No. 36) and the conventional cell measures 11.894, 14.833 and 7.215 Å, with angles of 90.00, 90.00 and 90.00 degrees. The distinct sites, in fractional coordinates, are Sr at (0.000, 0.041, 0.000), Sr at (0.000, 0.220, 0.512), Sr at (0.161, 0.270, 0.989), Sr at (0.163, 0.477, 0.486), P at (0.000, 0.390, 0.769), P at (0.177, 0.107, 0.707) and H at (0.000, 0.192, 0.150).



No. 7
First-principles (PBE) data for a relaxed structure of FeRuW2, as listed in Alexandria.

The value obtained for the formation energy is 13.27 kJ per mole of atoms. The calculation puts the calculated volume at 115.0 Å³/cell. The energy relative to the lowest polymorph listed for this composition comes out at 26 meV per atom. The value obtained for the density of states at the Fermi level is 4.280 states/eV/f.u.

The space group is Cmmm (No. 65) and the conventional cell measures 5.506, 7.565 and 2.762 Å, with angles of 90.00, 90.00 and 90.00 degrees. The distinct sites, in fractional coordinates, are Fe at (0.000, 0.000, 0.000), Ru at (0.000, 0.500, 0.000) and W at (0.250, 0.250, 0.500).



No. 8
First-principles (PBE) data for a relaxed structure of Tm3Mg2Hg3, as listed in Alexandria.

The value obtained for the formation energy is -31.29 kJ per mole of atoms. The calculation puts the calculated volume at 392.1 Å³/cell. The value obtained for the density of states at the Fermi level is 5.247 states/eV/f.u.

The space group is Immm (No. 71) and the conventional cell measures 3.637, 5.184 and 20.796 Å, with angles of 90.00, 90.00 and 90.00 degrees. The distinct sites, in fractional coordinates, are Tm at (0.000, 0.000, 0.000), Tm at (0.000, 0.500, 0.124), Mg at (0.000, 0.000, 0.239), Hg at (0.000, 0.000, 0.500) and Hg at (0.000, 0.500, 0.373).



- Among the records above, which one has the lowest calculated volume?
  MgBe2Al